VASP calculation (PBE with a Hubbard U) on a relaxed structure of CeMoP2O8.

Summary:
- Total DFT energy (no corrections): -7.733 eV/atom
- Density: 4.277 g/cm3

a b c (Å): 5.199 5.199 7.064
angles (deg): 90.00 90.00 120.00
Fractional positions:
Ce1 0.000 0.000 0.000
Mo1 0.000 0.000 0.500
P1 0.333 0.667 0.220
P2 0.667 0.333 0.780
O1 0.170 0.341 0.290
O2 0.170 0.830 0.290
O3 0.333 0.667 0.004
O4 0.341 0.170 0.710
O5 0.659 0.830 0.290
O6 0.667 0.333 0.996
O7 0.830 0.170 0.710
O8 0.830 0.659 0.710